# 1
# BaSrGaN

BaSrGaN after structural relaxation (GGA-PBE, the Alexandria database).

a b c (Å): 4.205 4.205 6.782
angles (deg): 108.06 108.06 90.00
Positions (direct):
Ba: 0.752 0.752 0.504
Sr: 0.042 0.042 0.084
Ga: 0.397 0.397 0.794
N: 0.239 0.239 0.478

Properties
volume	107.8	Å³ per cell
SG	I4mm (107)
uncorrected formation energy	-415	meV/atom
DOS at the Fermi energy	0.729	states/eV per atom


# 2
# Ba2SrGaN

Ba2SrGaN after structural relaxation (GGA-PBE, the Alexandria database).

a b c (Å): 5.635 5.635 5.171
angles (deg): 90.00 90.00 90.00
Last column: magnetic moment on the atom in μB.
Positions (direct):
Sr: 0.000 0.000 0.500  0.01
Ba: 0.000 0.500 0.000  0.03
Ba: 0.500 0.000 0.000  0.03
Ga: 0.500 0.500 0.500  0.09
N: 0.000 0.000 0.000  0.02

Properties
volume	164.2	Å³ per cell
SG	P4/mmm (123)
uncorrected formation energy	-292	meV/atom
DOS at the Fermi energy	1.451	states/eV per atom